No. 1
First-principles (PBE-GGA) data for an optimized crystal structure of VFeN, as listed in the Alexandria database.

Cell and atoms, written as POSCAR:
```
VFeN
1.0
-1.408 1.408 8.130
1.408 -1.408 8.130
1.408 1.408 -8.130
V Fe N
2 2 2
direct
0.177 0.177 0.000
0.823 0.823 0.000
0.430 0.430 0.000
0.570 0.570 0.000
0.310 0.310 0.000
0.690 0.690 0.000
```

Calculated values
Its uncorrected formation energy is -0.39 eV per atom. The space group is No. 139.

***

No. 2
First-principles (PBE-GGA) data for an optimized crystal structure of TlCuSb2, as listed in the Alexandria database.

Cell and atoms, written as POSCAR:
```
TlCuSb2
1.0
3.251 0.000 0.000
0.000 3.720 0.000
0.000 0.000 8.320
Tl Cu Sb
1 1 2
direct
0.000 0.000 0.000
0.000 0.000 0.500
0.500 0.500 0.316
0.500 0.500 0.684
```

Calculated values
Its uncorrected formation energy is 0.14 eV per atom. The space group is No. 47.

***

No. 3
First-principles (PBE-GGA) data for an optimized crystal structure of TiMnBeNb, as listed in the Alexandria database.

Cell and atoms, written as POSCAR:
```
TiMnBeNb
1.0
3.028 0.000 0.000
0.000 3.028 0.000
0.000 0.000 5.888
Ti Mn Be Nb
1 1 1 1
direct
0.000 0.000 0.000
0.500 0.500 0.760
0.500 0.500 0.238
0.000 0.000 0.500
```

Calculated values
The space group is No. 99. The formation enthalpy at 0 K is -163 meV/atom.

***

Q: Which size of the total moment values were calculated for the entries above? A: 1.339; 0.000; 0.000, in μB/f.u..
Q: Which ρ values were calculated for the entries above? A: 6.22; 8.44; 6.30, in g cm⁻³.